[1]
Here is a geometry-optimized UBeO3 structure from the Alexandria database. Energies are from PBE.

Structure (CIF):
```
data_UBeO3
_chemical_formula_sum 'U1 Be1 O3'
_cell_length_a 3.580
_cell_length_b 3.580
_cell_length_c 3.580
_cell_angle_alpha 90.00
_cell_angle_beta 90.00
_cell_angle_gamma 90.00
_symmetry_space_group_name_H-M 'P m -3 m'
_symmetry_Int_Tables_number 221
_symmetry_space_group_name_Hall '-P 4 2 3'
loop_
_atom_site_label
_atom_site_type_symbol
_atom_site_fract_x
_atom_site_fract_y
_atom_site_fract_z
U1 U 0.000 0.000 0.000
Be1 Be 0.500 0.500 0.500
O1 O 0.000 0.500 0.500
```

Properties
ΔE_f (raw) (eV/atom): -2.631
Total magnetic moment (μB per formula unit): 2.00

[2]
Here is a geometry-optimized Rb2LiCu2I7 structure from the Alexandria database. Energies are from PBE.

Structure (CIF):
```
data_Rb2LiCu2I7
_chemical_formula_sum 'Rb4 Li2 Cu4 I14'
_cell_length_a 7.991
_cell_length_b 8.070
_cell_length_c 14.412
_cell_angle_alpha 90.00
_cell_angle_beta 102.07
_cell_angle_gamma 90.00
_symmetry_space_group_name_H-M 'C 1 2/m 1'
_symmetry_Int_Tables_number 12
loop_
_symmetry_equiv_pos_as_xyz
'x,y,z'
'-x,-y,-z'
'-x,y,-z'
'x,-y,z'
'x+1/2,y+1/2,z'
'-x+1/2,-y+1/2,-z'
'-x+1/2,y+1/2,-z'
'x+1/2,-y+1/2,z'
loop_
_atom_site_label
_atom_site_type_symbol
_atom_site_fract_x
_atom_site_fract_y
_atom_site_fract_z
Rb1 Rb 0.209 0.000 0.351
Li1 Li 0.000 0.000 0.000
Cu1 Cu 0.115 0.500 0.193
I1 I 0.000 0.500 0.000
I2 I 0.113 0.228 0.834
I3 I 0.201 0.500 0.383
```

Properties
ΔE_f (raw) (eV/atom): -0.620
Total magnetic moment (μB per formula unit): 0.00

total magnetic moment of number 1 (UBeO3)?
2.00 μB per formula unit

Which value of ΔE_f (raw) does entry 1 give?
-2.631 eV/atom

Please write out number 2 again, unchanged.
Here is a geometry-optimized Rb2LiCu2I7 structure from the Alexandria database. Energies are from PBE.

Structure (CIF):
```
data_Rb2LiCu2I7
_chemical_formula_sum 'Rb4 Li2 Cu4 I14'
_cell_length_a 7.991
_cell_length_b 8.070
_cell_length_c 14.412
_cell_angle_alpha 90.00
_cell_angle_beta 102.07
_cell_angle_gamma 90.00
_symmetry_space_group_name_H-M 'C 1 2/m 1'
_symmetry_Int_Tables_number 12
loop_
_symmetry_equiv_pos_as_xyz
'x,y,z'
'-x,-y,-z'
'-x,y,-z'
'x,-y,z'
'x+1/2,y+1/2,z'
'-x+1/2,-y+1/2,-z'
'-x+1/2,y+1/2,-z'
'x+1/2,-y+1/2,z'
loop_
_atom_site_label
_atom_site_type_symbol
_atom_site_fract_x
_atom_site_fract_y
_atom_site_fract_z
Rb1 Rb 0.209 0.000 0.351
Li1 Li 0.000 0.000 0.000
Cu1 Cu 0.115 0.500 0.193
I1 I 0.000 0.500 0.000
I2 I 0.113 0.228 0.834
I3 I 0.201 0.500 0.383
```

Properties
ΔE_f (raw) (eV/atom): -0.620
Total magnetic moment (μB per formula unit): 0.00

Please write out number 2 again, unchanged.
Here is a geometry-optimized Rb2LiCu2I7 structure from the Alexandria database. Energies are from PBE.

Structure (CIF):
```
data_Rb2LiCu2I7
_chemical_formula_sum 'Rb4 Li2 Cu4 I14'
_cell_length_a 7.991
_cell_length_b 8.070
_cell_length_c 14.412
_cell_angle_alpha 90.00
_cell_angle_beta 102.07
_cell_angle_gamma 90.00
_symmetry_space_group_name_H-M 'C 1 2/m 1'
_symmetry_Int_Tables_number 12
loop_
_symmetry_equiv_pos_as_xyz
'x,y,z'
'-x,-y,-z'
'-x,y,-z'
'x,-y,z'
'x+1/2,y+1/2,z'
'-x+1/2,-y+1/2,-z'
'-x+1/2,y+1/2,-z'
'x+1/2,-y+1/2,z'
loop_
_atom_site_label
_atom_site_type_symbol
_atom_site_fract_x
_atom_site_fract_y
_atom_site_fract_z
Rb1 Rb 0.209 0.000 0.351
Li1 Li 0.000 0.000 0.000
Cu1 Cu 0.115 0.500 0.193
I1 I 0.000 0.500 0.000
I2 I 0.113 0.228 0.834
I3 I 0.201 0.500 0.383
```

Properties
ΔE_f (raw) (eV/atom): -0.620
Total magnetic moment (μB per formula unit): 0.00